Below is a relaxed Rb3Na crystal, with properties calculated at the PBE level.

DFT formation energy	30.3	meV per atom
symmetry	Cmcm (63)
electronic total energy	-1.03	eV/atom

a b c (Å): 9.531 9.531 7.585
angles (deg): 90.00 90.00 120.04
Atoms (fractional coordinates):
Rb 0.173 0.345 0.750
Rb 0.173 0.827 0.750
Rb 0.345 0.173 0.250
Rb 0.655 0.827 0.750
Rb 0.827 0.173 0.250
Rb 0.827 0.655 0.250
Na 0.333 0.667 0.250
Na 0.667 0.333 0.750